KCoN2O after structural relaxation, computed with PBE with a Hubbard U.

```
KCoN2O
1.0
-1.8999 4.4288 0.6411
-2.2447 -0.3407 -4.2988
-3.6406 -1.8583 2.0483
N K Co O
2 1 1 1
Cartesian
-1.1223 -0.1703 -2.1494
-0.9499 2.2144 0.3205
0.0000 0.0000 0.0000
-3.8926 1.1149 -0.8047
-1.8203 -0.9291 1.0241
```

Results
Final energy: -2.996 eV per atom
Total magnetization: 8.05 μB/f.u.